Entry from the Alexandria database: an optimized crystal structure of Tl4Sb3S8 (GGA-PBE).

Lattice parameters (Å, degrees): 11.532 11.478 8.049 90.00 134.03 90.00
Space group C2/m (No. 12)
Unique sites:
Tl: 0.000 0.000 0.000
Tl: 0.000 0.500 0.500
Tl: 0.250 0.250 0.000
Sb: 0.000 0.000 0.500
Sb: 0.250 0.250 0.500
S: 0.000 0.240 0.500
S: 0.000 0.243 0.000
S: 0.222 0.000 0.976
S: 0.238 0.000 0.497

Calculated values
Uncorrected energy: -3.804 eV per atom
Volume: 25.53 Å³/atom
Theoretical density: 6.24 g cm⁻³
DOS at the Fermi energy: 6.08 states/eV per cell

---

Entry from the Alexandria database: an optimized crystal structure of TbPHRu (GGA-PBE).

Lattice parameters (Å, degrees): 3.996 3.996 7.244 90.00 90.00 90.00
Space group P4/nmm (No. 129, origin choice 2)
Unique sites:
Tb: 0.250 0.250 0.164
P: 0.250 0.250 0.670
H: 0.250 0.750 0.000
Ru: 0.250 0.750 0.500

Calculated values
Uncorrected energy: -6.627 eV per atom
Volume: 14.46 Å³/atom
Theoretical density: 8.38 g cm⁻³
DOS at the Fermi energy: 4.20 states/eV per cell

---

Entry from the Alexandria database: an optimized crystal structure of BaMn2Tc (GGA-PBE).

Lattice parameters (Å, degrees): 3.198 5.590 10.192 90.00 90.00 90.00
Space group Immm (No. 71)
Unique sites:
Ba: 0.000 0.000 0.000
Mn: 0.000 0.500 0.197
Tc: 0.000 0.000 0.500

Calculated values
Uncorrected energy: -6.675 eV per atom
Energy above the most stable polymorph in this dataset: 0.5020 eV/atom
E_form: 0.982 eV/atom
Volume: 22.77 Å³/atom
Theoretical density: 6.29 g cm⁻³
DOS at the Fermi energy: 10.29 states/eV per cell